No. 1
# PBE-GGA LaTb7Pm4, relaxed
data_LaTb7Pm4
_space_group_name_H-M_alt 'P -1'
_space_group_IT_number 2
_cell_length_a 6.3047
_cell_length_b 7.2726
_cell_length_c 8.9746
_cell_angle_alpha 90.02
_cell_angle_beta 103.54
_cell_angle_gamma 90.01
loop_
_space_group_symop_operation_xyz
'x,y,z'
'-x,-y,-z'
loop_
_atom_site_label
_atom_site_fract_x
_atom_site_fract_y
_atom_site_fract_z
_atom_site_occupancy
La1 0.0000 0.0000 0.0000 1
Tb1 0.0000 0.5000 0.0000 1
Tb2 0.2220 0.9996 0.6666 1
Tb3 0.2783 0.2498 0.3337 1
Tb4 0.4997 0.2497 0.0004 1
Pm1 0.2217 0.4996 0.6678 1
Pm2 0.2786 0.7504 0.3350 1
# - ΔE_f: 0.8 kJ/mol of atoms
# - DOS at the Fermi energy: 1.316 states/eV per atom
# - Relative energy among the computed polymorphs: 0.00 eV/f.u.

No. 2
# PBE-GGA La3TbPm, relaxed
data_La3TbPm
_space_group_name_H-M_alt 'C m c m'
_space_group_IT_number 63
_space_group_name_Hall '-C 2c 2'
_cell_length_a 6.8810
_cell_length_b 16.3936
_cell_length_c 6.5404
_cell_angle_alpha 90.00
_cell_angle_beta 90.00
_cell_angle_gamma 90.00
loop_
_atom_site_label
_atom_site_fract_x
_atom_site_fract_y
_atom_site_fract_z
_atom_site_occupancy
La1 0.0000 0.0000 0.0000 1
La2 0.2404 0.1663 0.2500 1
Tb1 0.0000 0.4085 0.2500 1
Pm1 0.0000 0.1701 0.7500 1
# - ΔE_f: 28.9 kJ/mol of atoms
# - DOS at the Fermi energy: 1.732 states/eV per atom
# - Relative energy among the computed polymorphs: 0.12 eV/f.u.

No. 3
# PBE-GGA LaTbPm3, relaxed
data_LaTbPm3
_space_group_name_H-M_alt 'C 1 2/m 1'
_space_group_IT_number 12
_cell_length_a 17.7065
_cell_length_b 6.8770
_cell_length_c 6.0701
_cell_angle_alpha 90.00
_cell_angle_beta 109.98
_cell_angle_gamma 90.00
loop_
_space_group_symop_operation_xyz
'x,y,z'
'-x,-y,-z'
'-x,y,-z'
'x,-y,z'
'x+1/2,y+1/2,z'
'-x+1/2,-y+1/2,-z'
'-x+1/2,y+1/2,-z'
'x+1/2,-y+1/2,z'
loop_
_atom_site_label
_atom_site_fract_x
_atom_site_fract_y
_atom_site_fract_z
_atom_site_occupancy
La1 0.0000 0.0000 0.0000 1
La2 0.0000 0.0000 0.5000 1
Tb1 0.0500 0.5000 0.3001 1
Pm1 0.1536 0.2664 0.9034 1
Pm2 0.2280 0.0000 0.4775 1
# - ΔE_f: 17.7 kJ/mol of atoms
# - DOS at the Fermi energy: 1.572 states/eV per atom
# - Relative energy among the computed polymorphs: 0.76 eV/f.u.

No. 4
# PBE-GGA LaTb3Pm8, relaxed
data_LaTb3Pm8
_space_group_name_H-M_alt 'C 1 2 1'
_space_group_IT_number 5
_cell_length_a 16.0849
_cell_length_b 6.3803
_cell_length_c 11.0360
_cell_angle_alpha 90.00
_cell_angle_beta 133.21
_cell_angle_gamma 90.00
loop_
_space_group_symop_operation_xyz
'x,y,z'
'-x,y,-z'
'x+1/2,y+1/2,z'
'-x+1/2,y+1/2,-z'
loop_
_atom_site_label
_atom_site_fract_x
_atom_site_fract_y
_atom_site_fract_z
_atom_site_occupancy
La1 0.0000 0.0000 0.0000 1
Tb1 0.0000 0.4995 0.5000 1
Tb2 0.2485 0.1706 0.7486 1
Pm1 0.0001 0.0034 0.3360 1
Pm2 0.9999 0.5012 0.1671 1
Pm3 0.2481 0.6695 0.5818 1
Pm4 0.2481 0.6693 0.9143 1
# - ΔE_f: 2.8 kJ/mol of atoms
# - DOS at the Fermi energy: 1.749 states/eV per atom

No. 5
# PBE-GGA La16Tb6Pm7, relaxed
data_La16Tb6Pm7
_space_group_name_H-M_alt 'F m -3 m'
_space_group_IT_number 225
_space_group_name_Hall '-F 4 2 3'
_cell_length_a 16.3000
_cell_length_b 16.3000
_cell_length_c 16.3000
_cell_angle_alpha 90.00
_cell_angle_beta 90.00
_cell_angle_gamma 90.00
loop_
_atom_site_label
_atom_site_fract_x
_atom_site_fract_y
_atom_site_fract_z
_atom_site_occupancy
La1 0.1253 0.1253 0.1253 1
La2 0.1513 0.1513 0.3487 1
Tb1 0.0000 0.0000 0.2633 1
Pm1 0.0000 0.0000 0.0000 1
Pm2 0.0000 0.2500 0.2500 1
# - ΔE_f: 19.0 kJ/mol of atoms
# - DOS at the Fermi energy: 1.402 states/eV per atom

No. 6
# PBE-GGA LaTb7Pm12, relaxed
data_LaTb7Pm12
_space_group_name_H-M_alt 'I m -3'
_space_group_IT_number 204
_space_group_name_Hall '-I 2 2 3'
_cell_length_a 11.5533
_cell_length_b 11.5533
_cell_length_c 11.5533
_cell_angle_alpha 90.00
_cell_angle_beta 90.00
_cell_angle_gamma 90.00
loop_
_atom_site_label
_atom_site_fract_x
_atom_site_fract_y
_atom_site_fract_z
_atom_site_occupancy
La1 0.0000 0.0000 0.0000 1
Tb1 0.0000 0.0000 0.5000 1
Tb2 0.2500 0.2500 0.2500 1
Pm1 0.0000 0.2554 0.2541 1
# - ΔE_f: 62.3 kJ/mol of atoms
# - DOS at the Fermi energy: 1.299 states/eV per atom
# - Relative energy among the computed polymorphs: 9.82 eV/f.u.

No. 7
# PBE-GGA La4Tb3Pm2, relaxed
data_La4Tb3Pm2
_space_group_name_H-M_alt 'P 3 m 1'
_space_group_IT_number 156
_cell_length_a 3.6545
_cell_length_b 3.6545
_cell_length_c 27.4356
_cell_angle_alpha 90.00
_cell_angle_beta 90.00
_cell_angle_gamma 120.00
loop_
_space_group_symop_operation_xyz
'x,y,z'
'-y,x-y,z'
'-x+y,-x,z'
'-y,-x,z'
'-x+y,y,z'
'x,x-y,z'
loop_
_atom_site_label
_atom_site_fract_x
_atom_site_fract_y
_atom_site_fract_z
_atom_site_occupancy
La1 0.0000 0.0000 0.0000 1
La2 0.0000 0.0000 0.2144 1
La3 0.3333 0.6667 0.3312 1
La4 0.3333 0.6667 0.5474 1
Tb1 0.0000 0.0000 0.4388 1
Tb2 0.3333 0.6667 0.1059 1
Tb3 0.3333 0.6667 0.7667 1
Pm1 0.0000 0.0000 0.6606 1
Pm2 0.0000 0.0000 0.8697 1
# - ΔE_f: 5.7 kJ/mol of atoms
# - DOS at the Fermi energy: 1.951 states/eV per atom
# - Relative energy among the computed polymorphs: 0.34 eV/f.u.

No. 8
# PBE-GGA LaTbPm14, relaxed
data_LaTbPm14
_space_group_name_H-M_alt 'P 4/m m m'
_space_group_IT_number 123
_space_group_name_Hall '-P 4 2'
_cell_length_a 7.3105
_cell_length_b 7.3105
_cell_length_c 10.3237
_cell_angle_alpha 90.00
_cell_angle_beta 90.00
_cell_angle_gamma 90.00
loop_
_atom_site_label
_atom_site_fract_x
_atom_site_fract_y
_atom_site_fract_z
_atom_site_occupancy
La1 0.0000 0.0000 0.0000 1
Tb1 0.5000 0.5000 0.0000 1
Pm1 0.0000 0.0000 0.5000 1
Pm2 0.0000 0.5000 0.0000 1
Pm3 0.0000 0.5000 0.5000 1
Pm4 0.2514 0.2514 0.2501 1
Pm5 0.5000 0.5000 0.5000 1
# - ΔE_f: 1.4 kJ/mol of atoms
# - DOS at the Fermi energy: 1.562 states/eV per atom

No. 9
# PBE-GGA LaTb5Pm4, relaxed
data_LaTb5Pm4
_space_group_name_H-M_alt 'C 1 2/m 1'
_space_group_IT_number 12
_cell_length_a 25.8365
_cell_length_b 3.6218
_cell_length_c 7.2236
_cell_angle_alpha 90.00
_cell_angle_beta 98.04
_cell_angle_gamma 90.00
loop_
_space_group_symop_operation_xyz
'x,y,z'
'-x,-y,-z'
'-x,y,-z'
'x,-y,z'
'x+1/2,y+1/2,z'
'-x+1/2,-y+1/2,-z'
'-x+1/2,y+1/2,-z'
'x+1/2,-y+1/2,z'
loop_
_atom_site_label
_atom_site_fract_x
_atom_site_fract_y
_atom_site_fract_z
_atom_site_occupancy
La1 0.0000 0.0000 0.0000 1
Tb1 0.0000 0.0000 0.5000 1
Tb2 0.2013 0.0000 0.1010 1
Tb3 0.2014 0.0000 0.6005 1
Pm1 0.1018 0.5000 0.3034 1
Pm2 0.1019 0.5000 0.7990 1
# - ΔE_f: 1.4 kJ/mol of atoms
# - DOS at the Fermi energy: 1.353 states/eV per atom
# - Relative energy among the computed polymorphs: 0.00 eV/f.u.

No. 10
# PBE-GGA LaTb7Pm4, relaxed
data_LaTb7Pm4
_space_group_name_H-M_alt 'C 1 2/m 1'
_space_group_IT_number 12
_cell_length_a 12.1907
_cell_length_b 5.9784
_cell_length_c 12.8115
_cell_angle_alpha 90.00
_cell_angle_beta 117.92
_cell_angle_gamma 90.00
loop_
_space_group_symop_operation_xyz
'x,y,z'
'-x,-y,-z'
'-x,y,-z'
'x,-y,z'
'x+1/2,y+1/2,z'
'-x+1/2,-y+1/2,-z'
'-x+1/2,y+1/2,-z'
'x+1/2,-y+1/2,z'
loop_
_atom_site_label
_atom_site_fract_x
_atom_site_fract_y
_atom_site_fract_z
_atom_site_occupancy
La1 0.0000 0.0000 0.0000 1
Tb1 0.0000 0.5000 0.0000 1
Tb2 0.0613 0.0000 0.3288 1
Tb3 0.1327 0.5000 0.5010 1
Tb4 0.2102 0.0000 0.9224 1
Pm1 0.1326 0.5000 0.7762 1
Pm2 0.2429 0.0000 0.6787 1
# - ΔE_f: 23.8 kJ/mol of atoms
# - DOS at the Fermi energy: 1.628 states/eV per atom
# - Relative energy among the computed polymorphs: 2.86 eV/f.u.

No. 11
# PBE-GGA La3TbPm, relaxed
data_La3TbPm
_space_group_name_H-M_alt 'C m c m'
_space_group_IT_number 63
_space_group_name_Hall '-C 2c 2'
_cell_length_a 7.9155
_cell_length_b 13.7211
_cell_length_c 6.7311
_cell_angle_alpha 90.00
_cell_angle_beta 90.00
_cell_angle_gamma 90.00
loop_
_atom_site_label
_atom_site_fract_x
_atom_site_fract_y
_atom_site_fract_z
_atom_site_occupancy
La1 0.0000 0.1991 0.2500 1
La2 0.2014 0.4003 0.2500 1
Tb1 0.0000 0.3338 0.7500 1
Pm1 0.0000 0.0000 0.0000 1
# - ΔE_f: 26.5 kJ/mol of atoms
# - DOS at the Fermi energy: 0.947 states/eV per atom
# - Relative energy among the computed polymorphs: 0.00 eV/f.u.

No. 12
# PBE-GGA La6TbPm12, relaxed
data_La6TbPm12
_space_group_name_H-M_alt 'R -3 m'
_space_group_IT_number 166
_space_group_name_Hall '-R 3 2"'
_cell_length_a 13.6794
_cell_length_b 13.6794
_cell_length_c 12.7603
_cell_angle_alpha 90.00
_cell_angle_beta 90.00
_cell_angle_gamma 120.00
loop_
_atom_site_label
_atom_site_fract_x
_atom_site_fract_y
_atom_site_fract_z
_atom_site_occupancy
La1 0.0441 0.5220 0.1139 1
Tb1 0.0000 0.0000 0.5000 1
Pm1 0.0000 0.2557 0.0000 1
Pm2 0.0908 0.1815 0.7634 1
# - ΔE_f: 18.7 kJ/mol of atoms
# - DOS at the Fermi energy: 1.936 states/eV per atom
# - Relative energy among the computed polymorphs: 1.37 eV/f.u.

No. 13
# PBE-GGA La7Tb2Pm, relaxed
data_La7Tb2Pm
_space_group_name_H-M_alt 'C m m m'
_space_group_IT_number 65
_space_group_name_Hall '-C 2 2'
_cell_length_a 12.2382
_cell_length_b 17.2510
_cell_length_c 3.5461
_cell_angle_alpha 90.00
_cell_angle_beta 90.00
_cell_angle_gamma 90.00
loop_
_atom_site_label
_atom_site_fract_x
_atom_site_fract_y
_atom_site_fract_z
_atom_site_occupancy
La1 0.0000 0.0000 0.0000 1
La2 0.0000 0.1797 0.5000 1
La3 0.2436 0.1311 0.0000 1
Tb1 0.0000 0.3334 0.0000 1
Pm1 0.0000 0.5000 0.5000 1
# - ΔE_f: 31.1 kJ/mol of atoms
# - DOS at the Fermi energy: 1.742 states/eV per atom
# - Relative energy among the computed polymorphs: 0.00 eV/f.u.

No. 14
# PBE-GGA La4Tb6Pm, relaxed
data_La4Tb6Pm
_space_group_name_H-M_alt 'P -6 m 2'
_space_group_IT_number 187
_space_group_name_Hall 'P -6 2'
_cell_length_a 11.1835
_cell_length_b 11.1835
_cell_length_c 3.5547
_cell_angle_alpha 90.00
_cell_angle_beta 90.00
_cell_angle_gamma 120.00
loop_
_atom_site_label
_atom_site_fract_x
_atom_site_fract_y
_atom_site_fract_z
_atom_site_occupancy
La1 0.0000 0.0000 0.0000 1
La2 0.0657 0.5329 0.5000 1
Tb1 0.1614 0.3227 0.0000 1
Tb2 0.3341 0.1671 0.5000 1
Pm1 0.6667 0.3333 0.0000 1
# - ΔE_f: 15.5 kJ/mol of atoms
# - DOS at the Fermi energy: 1.494 states/eV per atom
# - Relative energy among the computed polymorphs: 0.00 eV/f.u.

No. 15
# PBE-GGA La7Tb3Pm, relaxed
data_La7Tb3Pm
_space_group_name_H-M_alt 'P 3 m 1'
_space_group_IT_number 156
_cell_length_a 7.3208
_cell_length_b 7.3208
_cell_length_c 8.6930
_cell_angle_alpha 90.00
_cell_angle_beta 90.00
_cell_angle_gamma 120.00
loop_
_space_group_symop_operation_xyz
'x,y,z'
'-y,x-y,z'
'-x+y,-x,z'
'-y,-x,z'
'-x+y,y,z'
'x,x-y,z'
loop_
_atom_site_label
_atom_site_fract_x
_atom_site_fract_y
_atom_site_fract_z
_atom_site_occupancy
La1 0.0000 0.0000 0.0000 1
La2 0.0039 0.5019 0.0286 1
La3 0.1687 0.3374 0.6672 1
Tb1 0.3338 0.1669 0.3480 1
Pm1 0.6667 0.3333 0.6915 1
# - ΔE_f: 16.5 kJ/mol of atoms
# - DOS at the Fermi energy: 1.537 states/eV per atom
# - Relative energy among the computed polymorphs: 0.00 eV/f.u.

No. 16
# PBE-GGA LaTb3Pm12, relaxed
data_LaTb3Pm12
_space_group_name_H-M_alt 'P 4/m m m'
_space_group_IT_number 123
_space_group_name_Hall '-P 4 2'
_cell_length_a 5.1492
_cell_length_b 5.1492
_cell_length_c 20.5902
_cell_angle_alpha 90.00
_cell_angle_beta 90.00
_cell_angle_gamma 90.00
loop_
_atom_site_label
_atom_site_fract_x
_atom_site_fract_y
_atom_site_fract_z
_atom_site_occupancy
La1 0.0000 0.0000 0.0000 1
Tb1 0.0000 0.0000 0.2512 1
Tb2 0.0000 0.0000 0.5000 1
Pm1 0.0000 0.5000 0.1275 1
Pm2 0.0000 0.5000 0.3757 1
Pm3 0.5000 0.5000 0.0000 1
Pm4 0.5000 0.5000 0.2524 1
Pm5 0.5000 0.5000 0.5000 1
# - ΔE_f: 1.5 kJ/mol of atoms
# - DOS at the Fermi energy: 1.528 states/eV per atom

No. 17
# PBE-GGA La2Tb5Pm, relaxed
data_La2Tb5Pm
_space_group_name_H-M_alt 'C m m m'
_space_group_IT_number 65
_space_group_name_Hall '-C 2 2'
_cell_length_a 10.1590
_cell_length_b 14.5383
_cell_length_c 3.6367
_cell_angle_alpha 90.00
_cell_angle_beta 90.00
_cell_angle_gamma 90.00
loop_
_atom_site_label
_atom_site_fract_x
_atom_site_fract_y
_atom_site_fract_z
_atom_site_occupancy
La1 0.0000 0.2491 0.0000 1
Tb1 0.0000 0.0000 0.0000 1
Tb2 0.2488 0.1227 0.5000 1
Pm1 0.0000 0.5000 0.0000 1
# - ΔE_f: 2.1 kJ/mol of atoms
# - DOS at the Fermi energy: 1.578 states/eV per atom
# - Relative energy among the computed polymorphs: 0.00 eV/f.u.

No. 18
# PBE-GGA La2Tb5Pm, relaxed
data_La2Tb5Pm
_space_group_name_H-M_alt 'P b a m'
_space_group_IT_number 55
_cell_length_a 7.2255
_cell_length_b 14.4567
_cell_length_c 5.1404
_cell_angle_alpha 90.00
_cell_angle_beta 90.00
_cell_angle_gamma 90.00
loop_
_space_group_symop_operation_xyz
'x,y,z'
'-x,-y,-z'
'-x,-y,z'
'x,y,-z'
'x+1/2,-y+1/2,-z'
'-x+1/2,y+1/2,z'
'-x+1/2,y+1/2,-z'
'x+1/2,-y+1/2,z'
loop_
_atom_site_label
_atom_site_fract_x
_atom_site_fract_y
_atom_site_fract_z
_atom_site_occupancy
La1 0.2482 0.1255 0.0000 1
Tb1 0.0000 0.0000 0.5000 1
Tb2 0.0023 0.7506 0.5000 1
Tb3 0.2480 0.3748 0.0000 1
Pm1 0.0000 0.5000 0.5000 1
# - ΔE_f: 2.4 kJ/mol of atoms
# - DOS at the Fermi energy: 1.591 states/eV per atom
# - Relative energy among the computed polymorphs: 0.02 eV/f.u.

No. 19
# PBE-GGA LaTb8Pm6, relaxed
data_LaTb8Pm6
_space_group_name_H-M_alt 'R -3'
_space_group_IT_number 148
_space_group_name_Hall '-R 3'
_cell_length_a 9.1553
_cell_length_b 9.1553
_cell_length_c 20.9419
_cell_angle_alpha 90.00
_cell_angle_beta 90.00
_cell_angle_gamma 120.00
loop_
_atom_site_label
_atom_site_fract_x
_atom_site_fract_y
_atom_site_fract_z
_atom_site_occupancy
La1 0.0000 0.0000 0.0000 1
Tb1 0.0000 0.0000 0.4232 1
Tb2 0.0800 0.5542 0.8080 1
Pm1 0.0589 0.2456 0.7093 1
# - ΔE_f: 12.1 kJ/mol of atoms
# - DOS at the Fermi energy: 1.511 states/eV per atom